# K3CrS2O8 GGA+U relaxed
data_K3CrS2O8
_chemical_formula_sum 'K3 Cr1 S2 O8'
_cell_length_a 5.7787
_cell_length_b 5.7787
_cell_length_c 7.4840
_cell_angle_alpha 90.00
_cell_angle_beta 90.00
_cell_angle_gamma 120.00
_symmetry_space_group_name_H-M 'P -3 m 1'
_symmetry_Int_Tables_number 164
_symmetry_space_group_name_Hall '-P 3 2"'
loop_
_atom_site_label
_atom_site_fract_x
_atom_site_fract_y
_atom_site_fract_z
K1 0.0000 0.0000 0.0000
K2 0.3333 0.6667 0.6791
Cr1 0.0000 0.0000 0.5000
S1 0.3333 0.6667 0.2299
O1 0.1923 0.3845 0.3004
O2 0.3333 0.6667 0.0332
# Total magnetic moment (μB per formula unit): 5.000
# Calculated volume (A^3/atom): 15.5
# Electronic total energy (eV per atom): -5.832